Entry 1:
The following is a DFT calculation (GGA-PBE) of a relaxed TaZnNi3 crystal.

Results
- DOS(E_F) (states/eV per atom) = 1.833
- E above lowest polymorph (meV per atom) = 924
- DFT formation energy (meV/atom) = 884

Geometry as CIF:
```
data_TaZnNi3
_chemical_formula_sum 'Ta1 Zn1 Ni3'
_symmetry_space_group_name_H-M 'P m -3 m'
_symmetry_Int_Tables_number 221
_symmetry_space_group_name_Hall '-P 4 2 3'
_cell_length_a 4.2269
_cell_length_b 4.2269
_cell_length_c 4.2269
_cell_angle_alpha 90.00
_cell_angle_beta 90.00
_cell_angle_gamma 90.00
loop_
_atom_site_label
_atom_site_fract_x
_atom_site_fract_y
_atom_site_fract_z
Ta1 0.0000 0.0000 0.0000
Zn1 0.5000 0.5000 0.5000
Ni1 0.0000 0.5000 0.5000
```


Entry 2:
The following is a DFT calculation (GGA-PBE) of a relaxed Ta4ZnNi crystal.

Results
- DOS(E_F) (states/eV per atom) = 0.886
- DFT formation energy (meV/atom) = 606

Geometry as CIF:
```
data_Ta4ZnNi
_chemical_formula_sum 'Ta16 Zn4 Ni4'
_symmetry_space_group_name_H-M 'F -4 3 m'
_symmetry_Int_Tables_number 216
_symmetry_space_group_name_Hall 'F -4 2 3'
_cell_length_a 7.6010
_cell_length_b 7.6010
_cell_length_c 7.6010
_cell_angle_alpha 90.00
_cell_angle_beta 90.00
_cell_angle_gamma 90.00
loop_
_atom_site_label
_atom_site_fract_x
_atom_site_fract_y
_atom_site_fract_z
Ta1 0.1244 0.1244 0.1244
Zn1 0.2500 0.2500 0.7500
Ni1 0.0000 0.0000 0.5000
```


Entry 3:
The following is a DFT calculation (GGA-PBE) of a relaxed Ta2ZnNi9 crystal.

Results
- DOS(E_F) (states/eV per atom) = 0.138
- DFT formation energy (meV/atom) = -305

Geometry as CIF:
```
data_Ta2ZnNi9
_chemical_formula_sum 'Ta2 Zn1 Ni9'
_symmetry_space_group_name_H-M 'P 4/m m m'
_symmetry_Int_Tables_number 123
_symmetry_space_group_name_Hall '-P 4 2'
_cell_length_a 3.6590
_cell_length_b 3.6590
_cell_length_c 10.8189
_cell_angle_alpha 90.00
_cell_angle_beta 90.00
_cell_angle_gamma 90.00
loop_
_atom_site_label
_atom_site_fract_x
_atom_site_fract_y
_atom_site_fract_z
Ta1 0.0000 0.0000 0.1748
Zn1 0.0000 0.0000 0.5000
Ni1 0.0000 0.5000 0.0000
Ni2 0.0000 0.5000 0.3354
Ni3 0.5000 0.5000 0.1663
Ni4 0.5000 0.5000 0.5000
```


Entry 4:
The following is a DFT calculation (GGA-PBE) of a relaxed Ta2Zn3Ni crystal.

Results
- DOS(E_F) (states/eV per atom) = 1.076
- DFT formation energy (meV/atom) = -99

Geometry as CIF:
```
data_Ta2Zn3Ni
_chemical_formula_sum 'Ta4 Zn6 Ni2'
_symmetry_space_group_name_H-M 'P 63/m m c'
_symmetry_Int_Tables_number 194
_symmetry_space_group_name_Hall '-P 6c 2c'
_cell_length_a 4.9977
_cell_length_b 4.9977
_cell_length_c 8.0223
_cell_angle_alpha 90.00
_cell_angle_beta 90.00
_cell_angle_gamma 120.00
loop_
_atom_site_label
_atom_site_fract_x
_atom_site_fract_y
_atom_site_fract_z
Ta1 0.3333 0.6667 0.0638
Zn1 0.1686 0.3371 0.7500
Ni1 0.0000 0.0000 0.0000
```


Entry 5:
The following is a DFT calculation (GGA-PBE) of a relaxed Ta2ZnNi crystal.

Results
- DOS(E_F) (states/eV per atom) = 1.229
- DFT formation energy (meV/atom) = 114

Geometry as CIF:
```
data_Ta2ZnNi
_chemical_formula_sum 'Ta6 Zn3 Ni3'
_symmetry_space_group_name_H-M 'R 3 m'
_symmetry_Int_Tables_number 160
_symmetry_space_group_name_Hall 'R 3 -2"'
_cell_length_a 2.8208
_cell_length_b 2.8208
_cell_length_c 27.5363
_cell_angle_alpha 90.00
_cell_angle_beta 90.00
_cell_angle_gamma 120.00
loop_
_atom_site_label
_atom_site_fract_x
_atom_site_fract_y
_atom_site_fract_z
Ta1 0.0000 0.0000 0.0000
Ta2 0.0000 0.0000 0.2379
Zn1 0.0000 0.0000 0.4826
Ni1 0.0000 0.0000 0.7435
```


Entry 6:
The following is a DFT calculation (GGA-PBE) of a relaxed Ta2ZnNi crystal.

Results
- DOS(E_F) (states/eV per atom) = 0.952
- DFT formation energy (meV/atom) = -96

Geometry as CIF:
```
data_Ta2ZnNi
_chemical_formula_sum 'Ta2 Zn1 Ni1'
_symmetry_space_group_name_H-M 'P 4 m m'
_symmetry_Int_Tables_number 99
_symmetry_space_group_name_Hall 'P 4 -2'
_cell_length_a 2.8209
_cell_length_b 2.8209
_cell_length_c 7.7158
_cell_angle_alpha 90.00
_cell_angle_beta 90.00
_cell_angle_gamma 90.00
loop_
_atom_site_label
_atom_site_fract_x
_atom_site_fract_y
_atom_site_fract_z
Ta1 0.0000 0.0000 0.0000
Ta2 0.5000 0.5000 0.2995
Zn1 0.0000 0.0000 0.5667
Ni1 0.5000 0.5000 0.7683
```


Entry 7:
The following is a DFT calculation (GGA-PBE) of a relaxed Zr2TaNi crystal.

Results
- DOS(E_F) (states/eV per atom) = 1.518
- E above lowest polymorph (meV per atom) = 119
- DFT formation energy (meV/atom) = -10

Geometry as CIF:
```
data_Zr2TaNi
_chemical_formula_sum 'Zr2 Ta1 Ni1'
_symmetry_space_group_name_H-M 'P 4/m m m'
_symmetry_Int_Tables_number 123
_symmetry_space_group_name_Hall '-P 4 2'
_cell_length_a 4.6632
_cell_length_b 4.6632
_cell_length_c 3.4121
_cell_angle_alpha 90.00
_cell_angle_beta 90.00
_cell_angle_gamma 90.00
loop_
_atom_site_label
_atom_site_fract_x
_atom_site_fract_y
_atom_site_fract_z
Zr1 0.0000 0.5000 0.0000
Ta1 0.0000 0.0000 0.5000
Ni1 0.5000 0.5000 0.5000
```


Entry 8:
The following is a DFT calculation (GGA-PBE) of a relaxed Zr2TaNi crystal.

Results
- DOS(E_F) (states/eV per atom) = 1.256
- E above lowest polymorph (meV per atom) = 190
- DFT formation energy (meV/atom) = 60

Geometry as CIF:
```
data_Zr2TaNi
_chemical_formula_sum 'Zr4 Ta2 Ni2'
_symmetry_space_group_name_H-M 'I -4 m 2'
_symmetry_Int_Tables_number 119
_symmetry_space_group_name_Hall 'I -4 -2'
_cell_length_a 4.0322
_cell_length_b 4.0322
_cell_length_c 9.1706
_cell_angle_alpha 90.00
_cell_angle_beta 90.00
_cell_angle_gamma 90.00
loop_
_atom_site_label
_atom_site_fract_x
_atom_site_fract_y
_atom_site_fract_z
Zr1 0.0000 0.0000 0.0000
Zr2 0.0000 0.5000 0.2500
Ta1 0.0000 0.5000 0.7500
Ni1 0.0000 0.0000 0.5000
```


Entry 9:
The following is a DFT calculation (GGA-PBE) of a relaxed ZrTa2Ni2 crystal.

Results
- DOS(E_F) (states/eV per atom) = 1.058
- E above lowest polymorph (meV per atom) = 0
- DFT formation energy (meV/atom) = -122

Geometry as CIF:
```
data_ZrTa2Ni2
_chemical_formula_sum 'Zr2 Ta4 Ni4'
_symmetry_space_group_name_H-M 'P 4/m b m'
_symmetry_Int_Tables_number 127
_symmetry_space_group_name_Hall '-P 4 2ab'
_cell_length_a 7.2119
_cell_length_b 7.2119
_cell_length_c 3.1085
_cell_angle_alpha 90.00
_cell_angle_beta 90.00
_cell_angle_gamma 90.00
loop_
_atom_site_label
_atom_site_fract_x
_atom_site_fract_y
_atom_site_fract_z
Zr1 0.0000 0.0000 0.0000
Ta1 0.1697 0.3303 0.5000
Ni1 0.1218 0.6218 0.0000
```


Entry 10:
The following is a DFT calculation (GGA-PBE) of a relaxed ZrTa2Ni2 crystal.

Results
- DOS(E_F) (states/eV per atom) = 1.188
- E above lowest polymorph (meV per atom) = 117
- DFT formation energy (meV/atom) = -4

Geometry as CIF:
```
data_ZrTa2Ni2
_chemical_formula_sum 'Zr2 Ta4 Ni4'
_symmetry_space_group_name_H-M 'P 4/m b m'
_symmetry_Int_Tables_number 127
_symmetry_space_group_name_Hall '-P 4 2ab'
_cell_length_a 7.7068
_cell_length_b 7.7068
_cell_length_c 2.7326
_cell_angle_alpha 90.00
_cell_angle_beta 90.00
_cell_angle_gamma 90.00
loop_
_atom_site_label
_atom_site_fract_x
_atom_site_fract_y
_atom_site_fract_z
Zr1 0.0000 0.0000 0.0000
Ta1 0.1298 0.3702 0.0000
Ni1 0.1689 0.6689 0.5000
```


Entry 11:
The following is a DFT calculation (GGA-PBE) of a relaxed Zr2TaNi crystal.

Results
- DOS(E_F) (states/eV per atom) = 1.070
- E above lowest polymorph (meV per atom) = 210
- DFT formation energy (meV/atom) = 80

Geometry as CIF:
```
data_Zr2TaNi
_chemical_formula_sum 'Zr6 Ta3 Ni3'
_symmetry_space_group_name_H-M 'R -3 m'
_symmetry_Int_Tables_number 166
_symmetry_space_group_name_Hall '-R 3 2"'
_cell_length_a 3.1451
_cell_length_b 3.1451
_cell_length_c 26.7449
_cell_angle_alpha 90.00
_cell_angle_beta 90.00
_cell_angle_gamma 120.00
loop_
_atom_site_label
_atom_site_fract_x
_atom_site_fract_y
_atom_site_fract_z
Zr1 0.0000 0.0000 0.2424
Ta1 0.0000 0.0000 0.0000
Ni1 0.0000 0.0000 0.5000
```


Entry 12:
The following is a DFT calculation (GGA-PBE) of a relaxed Zr2Ta2Ni15 crystal.

Results
- DOS(E_F) (states/eV per atom) = 1.198
- DFT formation energy (meV/atom) = -239

Geometry as CIF:
```
data_Zr2Ta2Ni15
_chemical_formula_sum 'Zr6 Ta6 Ni45'
_symmetry_space_group_name_H-M 'R -3 m'
_symmetry_Int_Tables_number 166
_symmetry_space_group_name_Hall '-R 3 2"'
_cell_length_a 8.2524
_cell_length_b 8.2524
_cell_length_c 12.3623
_cell_angle_alpha 90.00
_cell_angle_beta 90.00
_cell_angle_gamma 120.00
loop_
_atom_site_label
_atom_site_fract_x
_atom_site_fract_y
_atom_site_fract_z
Zr1 0.0000 0.0000 0.1488
Ta1 0.0000 0.0000 0.3950
Ni1 0.0000 0.3082 0.5000
Ni2 0.0000 0.5000 0.0000
Ni3 0.0070 0.5035 0.6565
```


Entry 13:
The following is a DFT calculation (GGA-PBE) of a relaxed Zr2TaNi crystal.

Results
- DOS(E_F) (states/eV per atom) = 0.845
- E above lowest polymorph (meV per atom) = 236
- DFT formation energy (meV/atom) = 107

Geometry as CIF:
```
data_Zr2TaNi
_chemical_formula_sum 'Zr8 Ta4 Ni4'
_symmetry_space_group_name_H-M 'F -4 3 m'
_symmetry_Int_Tables_number 216
_symmetry_space_group_name_Hall 'F -4 2 3'
_cell_length_a 6.6068
_cell_length_b 6.6068
_cell_length_c 6.6068
_cell_angle_alpha 90.00
_cell_angle_beta 90.00
_cell_angle_gamma 90.00
loop_
_atom_site_label
_atom_site_fract_x
_atom_site_fract_y
_atom_site_fract_z
Zr1 0.0000 0.0000 0.0000
Zr2 0.2500 0.2500 0.2500
Ta1 0.0000 0.0000 0.5000
Ni1 0.2500 0.2500 0.7500
```